1.
Computed, not measured: a crystal of NaMgAs2Br relaxed with PBEsol at the SCAN level of DFT.

abc: 5.021 5.021 5.222
angles: 90.00 90.00 90.00
Site moments in Bohr magnetons follow the coordinates.
Atoms (fractional coordinates):
Br1 0.000 0.000 0.500  0.18
Mg1 0.500 0.500 0.500  -0.03
As1 0.000 0.500 0.000  0.31
As2 0.500 0.000 0.000  0.31
Na1 0.000 0.000 0.000  0.01

The uncorrected formation energy comes out at 2.5 eV per formula unit. Its space group is P4/mmm, No. 123.

=====

2.
Computed, not measured: a crystal of LaZn2Rh2 relaxed with PBEsol at the SCAN level of DFT.

abc: 4.014 4.014 6.269
angles: 108.67 108.67 90.00
Atoms (fractional coordinates):
La1 0.000 0.000 0.000
Rh1 0.613 0.613 0.227
Zn1 0.750 0.250 0.500
Rh2 0.387 0.387 0.773
Zn2 0.250 0.750 0.500

Its space group is I4/mmm, No. 139. For the formation enthalpy at 0 K, the calculation gives -0.581 eV per atom.